No. 1
Computed, not measured: a relaxed Sm7Er2Mg crystal at the PBE level of DFT.

Cell lengths 9.181, 9.181, 5.558 Å; angles 90.00, 90.00, 122.89 degrees
Positions (direct):
Sm 0.000 0.000 0.000
Sm 0.212 0.432 0.000
Sm 0.284 0.716 0.500
Sm 0.432 0.212 0.000
Sm 0.568 0.788 0.000
Sm 0.716 0.284 0.500
Sm 0.788 0.568 0.000
Er 0.207 0.793 0.000
Er 0.793 0.207 0.000
Mg 0.500 0.500 0.500

M_tot: 0.0 μB per formula unit

No. 2
Computed, not measured: a relaxed Sm12Er6Mg crystal at the PBE level of DFT.

Cell lengths 8.560, 8.560, 8.560 Å; angles 88.85, 88.85, 88.85 degrees
Positions (direct):
Sm 0.038 0.283 0.932
Sm 0.068 0.962 0.717
Sm 0.135 0.318 0.484
Sm 0.283 0.932 0.038
Sm 0.318 0.484 0.135
Sm 0.484 0.135 0.318
Sm 0.516 0.865 0.682
Sm 0.682 0.516 0.865
Sm 0.717 0.068 0.962
Sm 0.865 0.682 0.516
Sm 0.932 0.038 0.283
Sm 0.962 0.717 0.068
Er 0.211 0.600 0.760
Er 0.240 0.789 0.400
Er 0.400 0.240 0.789
Er 0.600 0.760 0.211
Er 0.760 0.211 0.600
Er 0.789 0.400 0.240
Mg 0.500 0.500 0.500

E above lowest polymorph: 0.000 eV/atom
M_tot: 0.0 μB per formula unit

no.,final energy (eV per atom)
1,-3.75
2,-4.38